Entry 1:
EuDyHg2 (GGA-PBE, optimized geometry); DFT total energy = -4.38 eV per atom; energy of formation = -0.5135 eV/atom; space group = P4/mmm (123)
1.0
3.7970 0.0000 0.0000
0.0000 3.7970 0.0000
0.0000 0.0000 7.6300
Eu Dy Hg
1 1 2
Cartesian
0.0000 0.0000 0.0000
0.0000 0.0000 3.8150
1.8985 1.8985 2.0773
1.8985 1.8985 5.5527

=====

Entry 2:
CdB (GGA-PBE, optimized geometry); DFT total energy = -3.39 eV per atom; energy of formation = 0.4014 eV/atom; distance to the lowest polymorph of the same formula = 0.037 eV/atom; space group = Cm (8)
1.0
2.6430 -1.5211 0.0000
2.6430 1.5211 0.0000
-0.5295 0.0000 7.3133
Cd B
2 2
Cartesian
0.0000 0.0000 0.0000
3.0715 0.0000 4.5574
1.3542 0.0000 2.4566
4.8977 0.0000 2.4884

=====

Entry 3:
PmAl4Ag8 (GGA-PBE, optimized geometry); DFT total energy = -3.48 eV per atom; energy of formation = -0.2042 eV/atom; space group = I4/mmm (139)
1.0
-4.6905 4.6905 2.6919
4.6905 -4.6905 2.6919
4.6905 4.6905 -2.6919
Pm Al Ag
1 4 8
Cartesian
0.0000 0.0000 0.0000
2.3453 2.3453 -1.3459
2.3453 -2.3453 1.3459
-2.3453 2.3453 1.3459
2.3453 2.3453 1.3459
3.2294 0.0000 0.0000
6.1516 0.0000 0.0000
4.6905 2.6512 0.0000
0.0000 3.2294 0.0000
2.6512 4.6905 0.0000
2.0393 0.0000 2.6919
0.0000 6.1516 0.0000
0.0000 2.0393 2.6919

=====

Entry 4:
TbGe2Rh4 (GGA-PBE, optimized geometry); DFT total energy = -6.88 eV per atom; energy of formation = -0.7032 eV/atom; distance to the lowest polymorph of the same formula = 0.000 eV/atom; space group = P4_2/mnm (136)
1.0
7.7186 0.0000 0.0000
0.0000 7.7186 0.0000
0.0000 0.0000 3.8870
Tb Ge Rh
2 4 8
Cartesian
0.0000 0.0000 0.0000
3.8593 3.8593 1.9435
1.7456 1.7456 1.9435
2.1136 5.6049 0.0000
5.6049 2.1136 0.0000
5.9729 5.9729 1.9435
0.5916 5.1221 1.9435
1.2628 3.2677 0.0000
2.5965 7.1270 1.9435
3.2677 1.2628 0.0000
4.4509 6.4557 0.0000
5.1221 0.5916 1.9435
6.4557 4.4509 0.0000
7.1270 2.5965 1.9435

=====

Entry 5:
Dy3TmRh (GGA-PBE, optimized geometry); DFT total energy = -5.42 eV per atom; energy of formation = -0.2921 eV/atom; distance to the lowest polymorph of the same formula = 0.110 eV/atom; space group = Pmn2_1 (31)
1.0
7.5358 0.0000 0.0000
0.0000 6.4851 0.0000
0.0000 0.0000 6.1018
Dy Tm Rh
6 2 2
Cartesian
0.0000 0.9764 0.0000
1.8779 2.0160 3.0852
1.8900 4.4691 0.0343
3.7679 5.5086 3.0509
5.6458 4.4691 0.0343
5.6579 2.0160 3.0852
0.0000 5.4937 3.1316
3.7679 0.9914 0.0807
0.0000 3.2634 1.5665
3.7679 3.2217 4.6174

=====

Entry 6:
BaCuIr3 (GGA-PBE, optimized geometry); DFT total energy = -3.54 eV per atom; energy of formation = 2.9848 eV/atom; distance to the lowest polymorph of the same formula = 2.002 eV/atom; space group = Pm-3m (221)
1.0
5.1010 0.0000 0.0000
0.0000 5.1010 0.0000
0.0000 0.0000 5.1010
Ba Cu Ir
1 1 3
Cartesian
0.0000 0.0000 0.0000
2.5505 2.5505 2.5505
0.0000 0.0000 2.5505
0.0000 2.5505 0.0000
2.5505 0.0000 0.0000

=====

no.,magnetization (μB/f.u.),volume (Å³/atom)
1,7.12,27.5
2,0.00,14.7
3,0.00,18.2
4,0.00,16.5
5,0.00,29.8
6,0.00,26.5